Material: ErMgTlCd
Method: DFT, PBE
State: optimized geometry

Volume, A^3/atom: 24.30
Formation energy from the elements, eV per atom: -0.255

Cell and atoms, written as POSCAR:
```
ErMgTlCd
1.0
5.161 0.000 0.000
2.580 4.469 0.000
2.580 1.490 4.214
Cd Tl Mg Er
1 1 1 1
direct
0.750 0.750 0.750
0.250 0.250 0.250
0.500 0.500 0.500
0.000 0.000 0.000
```